1.
# KNaGa (PBE, relaxed)
data_KNaGa
_symmetry_space_group_name_H-M 'C 1 c 1'
_symmetry_Int_Tables_number 9
_cell_length_a 8.173
_cell_length_b 13.340
_cell_length_c 4.529
_cell_angle_alpha 90.00
_cell_angle_beta 91.40
_cell_angle_gamma 90.00
loop_
_symmetry_equiv_pos_as_xyz
'x,y,z'
'x,-y,z+1/2'
'x+1/2,y+1/2,z'
'x+1/2,-y+1/2,z+1/2'
loop_
_atom_site_label
_atom_site_type_symbol
_atom_site_fract_x
_atom_site_fract_y
_atom_site_fract_z
_atom_site_occupancy
K1 K 0.000 0.155 0.000 1
Na1 Na 0.029 0.387 0.518 1
Ga1 Ga 0.278 0.048 0.510 1
# formation energy from the elements: 23 meV per atom
# total moment: 0.0 μB/f.u.
# density of states at the Fermi level: 4.812 states/eV/cell
# E above lowest polymorph: 59.3 meV/atom


2.
# DyAl3Fe (PBE, relaxed)
data_DyAl3Fe
_symmetry_space_group_name_H-M 'P m -3 m'
_symmetry_Int_Tables_number 221
_symmetry_space_group_name_Hall '-P 4 2 3'
_cell_length_a 4.501
_cell_length_b 4.501
_cell_length_c 4.501
_cell_angle_alpha 90.00
_cell_angle_beta 90.00
_cell_angle_gamma 90.00
loop_
_atom_site_label
_atom_site_type_symbol
_atom_site_fract_x
_atom_site_fract_y
_atom_site_fract_z
_atom_site_occupancy
Dy1 Dy 0.000 0.000 0.000 1
Al1 Al 0.000 0.500 0.500 1
Fe1 Fe 0.500 0.500 0.500 1
# formation energy from the elements: -303 meV per atom
# total moment: 0.0 μB/f.u.
# density of states at the Fermi level: 1.276 states/eV/cell
# E above lowest polymorph: 25.1 meV/atom


What is the formula in the second record?
DyAl3Fe


Which of these has the lowest formation energy from the elements?
DyAl3Fe